(1)
Computed, not measured: NaSrMn2Sb at its PBEsol-relaxed geometry at the SCAN level of DFT.

For the uncorrected formation energy, the calculation gives 0.284 eV/atom.

The structure belongs to space group P4/mmm (No. 123); the cell edges are 5.109, 5.109 and 6.184 Å and the angles 90.00°, 90.00° and 90.00°. The inequivalent atoms are Na at (0.000, 0.000, 0.000), Sr at (0.500, 0.500, 0.000), Mn at (0.000, 0.500, 0.500) and Sb at (0.500, 0.500, 0.500).

(2)
Computed, not measured: AlCdMo2 at its PBEsol-relaxed geometry at the SCAN level of DFT.

The value obtained for the energy relative to the elements is 0.283 eV per atom.

The structure belongs to space group R3m (No. 160, hexagonal axes); the cell edges are 2.8341, 2.8341 and 28.4580 Å and the angles 90.00°, 90.00° and 120.00°. The inequivalent atoms are Al at (0.0000, 0.0000, 0.0000), Cd at (0.0000, 0.0000, 0.2428), Mo at (0.0000, 0.0000, 0.4877) and Mo at (0.0000, 0.0000, 0.7423).

| no. | DFT total energy (eV per cell) |
| --- | --- |
| 1 | -98.84 |
| 2 | -320.42 |